(one)
Computed, not measured: LiNiMo2 after structural relaxation at the PBE level of DFT.

Cell: 2.577 4.364 5.076 Å, 90.00 103.35 90.00°
Space group P2/m (No. 10)
Inequivalent atoms, fractional coordinates:
Li1 0.000 0.000 0.000
Ni1 0.500 0.000 0.500
Mo1 0.232 0.500 0.747

Output
calculated volume	13.888	Å³/atom

=====

(two)
Computed, not measured: LiNiMo2 after structural relaxation at the PBE level of DFT.

Cell: 5.987 5.987 5.987 Å, 90.00 90.00 90.00°
Space group Fm-3m (No. 225)
Inequivalent atoms, fractional coordinates:
Li1 0.000 0.000 0.000
Ni1 0.000 0.000 0.500
Mo1 0.250 0.250 0.250

Output
calculated volume	13.414	Å³/atom

=====

Stability summary - winner: (one); margin: 0.259 eV/atom.

=====

(one)
Computed, not measured: LiNiMo2 after structural relaxation at the PBE level of DFT.

Cell: 5.105 8.586 2.589 Å, 90.00 102.99 90.00°
Space group C2/m (No. 12)
Inequivalent atoms, fractional coordinates:
Li1 0.000 0.000 0.000
Ni1 0.000 0.500 0.000
Mo1 0.250 0.250 0.500

Output
calculated volume	13.824	Å³/atom

=====

(two)
Computed, not measured: LiNiMo2 after structural relaxation at the PBE level of DFT.

Cell: 2.607 2.607 8.542 Å, 90.00 90.00 90.00°
Space group P4/mmm (No. 123)
Inequivalent atoms, fractional coordinates:
Li1 0.000 0.000 0.000
Ni1 0.000 0.000 0.500
Mo1 0.500 0.500 0.275

Output
calculated volume	14.509	Å³/atom

=====

Stability summary - winner: (one); margin: 0.041 eV/atom.

=====

(one)
Computed, not measured: LiNiMo2 after structural relaxation at the PBE level of DFT.

Cell: 3.646 3.646 8.193 Å, 90.00 90.00 90.00°
Space group I4/mmm (No. 139)
Inequivalent atoms, fractional coordinates:
Li1 0.000 0.000 0.000
Ni1 0.000 0.000 0.500
Mo1 0.000 0.500 0.250

Output
calculated volume	13.614	Å³/atom

=====

(two)
Computed, not measured: LiNiMo2 after structural relaxation at the PBE level of DFT.

Cell: 3.170 3.170 5.545 Å, 90.00 90.00 90.00°
Space group P4mm (No. 99)
Inequivalent atoms, fractional coordinates:
Li1 0.000 0.000 0.000
Ni1 0.500 0.500 0.789
Mo1 0.000 0.000 0.517
Mo2 0.500 0.500 0.274

Output
calculated volume	13.932	Å³/atom

=====

(three)
Computed, not measured: LiNiMo2 after structural relaxation at the PBE level of DFT.

Cell: 2.7160 2.7160 27.4874 Å, 90.00 90.00 120.00°
Space group R3m (No. 160, hexagonal axes)
Inequivalent atoms, fractional coordinates:
Li1 0.0000 0.0000 0.0000
Ni1 0.0000 0.0000 0.7440
Mo1 0.0000 0.0000 0.2424
Mo2 0.0000 0.0000 0.4867

Output
calculated volume	14.633	Å³/atom

=====

(four)
Computed, not measured: LiNiMo2 after structural relaxation at the PBE level of DFT.

Cell: 2.6763 2.6763 28.2832 Å, 90.00 90.00 120.00°
Space group R-3m (No. 166, hexagonal axes)
Inequivalent atoms, fractional coordinates:
Li1 0.0000 0.0000 0.0000
Ni1 0.0000 0.0000 0.5000
Mo1 0.0000 0.0000 0.2433

Output
calculated volume	14.620	Å³/atom

=====

Stability summary - winner: (one); margin: 0.012 eV/atom.

=====

(one)
Computed, not measured: LiNiMo2 after structural relaxation at the PBE level of DFT.

Cell: 3.287 3.287 5.094 Å, 90.00 90.00 90.00°
Space group P4/mmm (No. 123)
Inequivalent atoms, fractional coordinates:
Li1 0.000 0.000 0.000
Ni1 0.000 0.000 0.500
Mo1 0.500 0.500 0.266

Output
calculated volume	13.761	Å³/atom

=====

(two)
Computed, not measured: LiNiMo2 after structural relaxation at the PBE level of DFT.

Cell: 6.057 6.057 6.057 Å, 90.00 90.00 90.00°
Space group F-43m (No. 216)
Inequivalent atoms, fractional coordinates:
Li1 0.000 0.000 0.000
Ni1 0.250 0.250 0.250
Mo1 0.000 0.000 0.500
Mo2 0.250 0.250 0.750

Output
calculated volume	13.887	Å³/atom

=====

(three)
Computed, not measured: LiNiMo2 after structural relaxation at the PBE level of DFT.

Cell: 2.589 4.234 4.993 Å, 90.00 96.33 90.00°
Space group Pm (No. 6)
Inequivalent atoms, fractional coordinates:
Li1 0.000 0.000 0.000
Ni1 0.067 0.500 0.751
Mo1 0.435 0.000 0.511
Mo2 0.653 0.500 0.228

Output
calculated volume	13.600	Å³/atom

=====

(four)
Computed, not measured: LiNiMo2 after structural relaxation at the PBE level of DFT.

Cell: 2.649 2.649 8.102 Å, 90.00 90.00 90.00°
Space group P4mm (No. 99)
Inequivalent atoms, fractional coordinates:
Li1 0.000 0.000 0.000
Ni1 0.500 0.500 0.781
Mo1 0.000 0.000 0.564
Mo2 0.500 0.500 0.279

Output
calculated volume	14.213	Å³/atom

=====

Stability summary - winner: (three); margin: 0.013 eV/atom.

=====

(one)
Computed, not measured: LiNiMo2 after structural relaxation at the PBE level of DFT.

Cell: 3.790 3.790 7.618 Å, 90.00 90.00 90.00°
Space group I-4m2 (No. 119)
Inequivalent atoms, fractional coordinates:
Li1 0.000 0.000 0.000
Ni1 0.000 0.500 0.250
Mo1 0.000 0.000 0.500
Mo2 0.000 0.500 0.750

Output
calculated volume	13.681	Å³/atom

=====

(two)
Computed, not measured: LiNiMo2 after structural relaxation at the PBE level of DFT.

Cell: 3.191 4.241 8.529 Å, 90.00 90.00 90.00°
Space group Cmm2 (No. 35)
Inequivalent atoms, fractional coordinates:
Li1 0.000 0.000 0.000
Ni1 0.000 0.500 0.769
Mo1 0.000 0.000 0.543
Mo2 0.000 0.500 0.278

Output
calculated volume	14.429	Å³/atom

=====

Stability summary - winner: (two); margin: 0.187 eV/atom.

=====

(one)
Computed, not measured: LiNiMo2 after structural relaxation at the PBE level of DFT.

Cell: 2.567 3.985 5.435 Å, 90.00 90.00 90.00°
Space group Pmm2 (No. 25)
Inequivalent atoms, fractional coordinates:
Li1 0.000 0.000 0.000
Ni1 0.500 0.500 0.781
Mo1 0.000 0.000 0.526
Mo2 0.500 0.500 0.255

Output
calculated volume	13.900	Å³/atom

=====

(two)
Computed, not measured: LiNiMo2 after structural relaxation at the PBE level of DFT.

Cell: 4.587 4.587 2.574 Å, 90.00 90.00 90.00°
Space group P4/mmm (No. 123)
Inequivalent atoms, fractional coordinates:
Li1 0.000 0.000 0.000
Ni1 0.500 0.500 0.000
Mo1 0.000 0.500 0.500

Output
calculated volume	13.542	Å³/atom

=====

(three)
Computed, not measured: LiNiMo2 after structural relaxation at the PBE level of DFT.

Cell: 3.234 4.038 8.827 Å, 90.00 90.00 90.00°
Space group Cmmm (No. 65)
Inequivalent atoms, fractional coordinates:
Li1 0.000 0.000 0.000
Ni1 0.000 0.000 0.500
Mo1 0.000 0.500 0.271

Output
calculated volume	14.408	Å³/atom

=====

(four)
Computed, not measured: LiNiMo2 after structural relaxation at the PBE level of DFT.

Cell: 8.810 2.591 4.893 Å, 90.00 96.66 90.00°
Space group Cm (No. 8)
Inequivalent atoms, fractional coordinates:
Li1 0.000 0.000 0.000
Ni1 0.244 0.500 0.229
Mo1 0.242 0.000 0.752
Mo2 0.476 0.000 0.485

Output
calculated volume	13.865	Å³/atom

=====

Stability summary - winner: (three); margin: 0.009 eV/atom.

=====

(one)
Computed, not measured: LiNiMo2 after structural relaxation at the PBE level of DFT.

Cell: 6.879 6.879 4.940 Å, 90.00 90.00 90.00°
Space group I-42d (No. 122)
Inequivalent atoms, fractional coordinates:
Li1 0.000 0.000 0.000
Ni1 0.000 0.000 0.500
Mo1 0.230 0.250 0.625

Output
calculated volume	14.608	Å³/atom

=====

(two)
Computed, not measured: LiNiMo2 after structural relaxation at the PBE level of DFT.

Cell: 3.142 4.062 4.321 Å, 90.00 90.00 90.00°
Space group Pmmm (No. 47)
Inequivalent atoms, fractional coordinates:
Li1 0.000 0.000 0.000
Ni1 0.500 0.500 0.000
Mo1 0.000 0.500 0.500
Mo2 0.500 0.000 0.500

Output
calculated volume	13.787	Å³/atom

=====

Stability summary - winner: (two); margin: 0.392 eV/atom.

=====

(one)
Computed, not measured: LiNi2Mo2 after structural relaxation at the PBE level of DFT.

Cell: 7.538 7.538 2.569 Å, 90.00 90.00 90.00°
Space group P4/mbm (No. 127)
Inequivalent atoms, fractional coordinates:
Li1 0.000 0.000 0.000
Ni1 0.170 0.330 0.500
Mo1 0.124 0.624 0.000

Output
calculated volume	14.599	Å³/atom

=====

(two)
Computed, not measured: LiNi2Mo2 after structural relaxation at the PBE level of DFT.

Cell: 7.292 7.292 2.646 Å, 90.00 90.00 90.00°
Space group P4/mbm (No. 127)
Inequivalent atoms, fractional coordinates:
Li1 0.000 0.000 0.000
Ni1 0.121 0.379 0.000
Mo1 0.173 0.673 0.500

Output
calculated volume	14.068	Å³/atom

=====

Stability summary - winner: (one); margin: 0.018 eV/atom.